1.
The following is a PBE calculation of an optimized crystal structure of DyHoAlAu, from Alexandria via LeMat-Bulk.

abc: 3.5491 3.5491 7.4370
angles: 90.00 90.00 90.00
With the nearest neighbours (Å) after each atom.
Fractional positions:
Au  0.5000  0.5000  0.6110  4 Ho 3.07, 4 Dy 3.11
Al  0.5000  0.5000  0.1049  4 Ho 3.15, 4 Dy 3.16
Ho  0.0000  0.0000  0.8492  4 Au 3.07, 4 Al 3.15
Dy  0.0000  0.0000  0.3629  4 Au 3.11, 4 Al 3.16

Summary:
V: 23.42 Å³/atom
Symmetry: No. 99
Total magnetic moment: 0.0 μB per cell
Density of states at the Fermi level: 0.453 states/eV per atom

=====

2.
The following is a PBE calculation of an optimized crystal structure of DyHoAlAu, from Alexandria via LeMat-Bulk.

abc: 5.1193 5.1193 5.1193
angles: 60.00 60.00 60.00
With the nearest neighbours (Å) after each atom.
Fractional positions:
Al  0.5000  0.5000  0.5000  4 Ho 3.13, 4 Dy 3.13
Dy  0.2500  0.2500  0.2500  4 Al 3.13, 4 Au 3.13
Ho  0.7500  0.7500  0.7500  4 Au 3.13, 4 Al 3.13
Au  0.0000  0.0000  0.0000  4 Dy 3.13, 4 Ho 3.13

Summary:
V: 23.72 Å³/atom
Symmetry: No. 216
Total magnetic moment: 0.0 μB per cell
Density of states at the Fermi level: 0.679 states/eV per atom

=====

Stability, highest: 1

=====

1.
The following is a PBE calculation of an optimized crystal structure of PmDyAlAu, from Alexandria via LeMat-Bulk.

abc: 5.2028 5.2028 5.2028
angles: 60.00 60.00 60.00
With the nearest neighbours (Å) after each atom.
Fractional positions:
Al  0.5000  0.5000  0.5000  4 Dy 3.19, 4 Pm 3.19
Pm  0.7500  0.7500  0.7500  4 Al 3.19, 4 Au 3.19
Dy  0.2500  0.2500  0.2500  4 Au 3.19, 4 Al 3.19
Au  0.0000  0.0000  0.0000  4 Dy 3.19, 4 Pm 3.19

Summary:
V: 24.90 Å³/atom
Symmetry: No. 216
Total magnetic moment: 0.0 μB per cell
Density of states at the Fermi level: 1.036 states/eV per atom

=====

2.
The following is a PBE calculation of an optimized crystal structure of PmDyAlAu, from Alexandria via LeMat-Bulk.

abc: 3.8115 4.5864 6.0659
angles: 90.00 108.31 90.00
With the nearest neighbours (Å) after each atom.
Fractional positions:
Au  0.4313  0.0000  0.8625  2 Al 2.82, 2 Dy 3.13, 4 Pm 3.13
Dy  0.1470  0.0000  0.2941  4 Al 3.10, 3 Au 3.13-3.27
Al  0.5738  0.5000  0.1477  2 Au 2.82, 4 Dy 3.10, 1 Pm 3.16
Pm  0.8479  0.5000  0.6957  4 Au 3.13, 3 Al 3.16-3.23

Summary:
V: 25.17 Å³/atom
Symmetry: No. 38
Total magnetic moment: 0.0 μB per cell
Density of states at the Fermi level: 0.983 states/eV per atom

=====

Stability, highest: 2

=====

1.
The following is a PBE calculation of an optimized crystal structure of TbDyAlAu, from Alexandria via LeMat-Bulk.

abc: 5.1445 5.1445 5.1445
angles: 60.00 60.00 60.00
With the nearest neighbours (Å) after each atom.
Fractional positions:
Tb  0.7500  0.7500  0.7500  4 Al 3.15, 4 Au 3.15
Dy  0.2500  0.2500  0.2500  4 Al 3.15, 4 Au 3.15
Al  0.0000  0.0000  0.0000  4 Tb 3.15, 4 Dy 3.15
Au  0.5000  0.5000  0.5000  4 Dy 3.15, 4 Tb 3.15

Summary:
V: 24.07 Å³/atom
Symmetry: No. 216
Total magnetic moment: 0.0 μB per cell
Density of states at the Fermi level: 0.795 states/eV per atom

=====

2.
The following is a PBE calculation of an optimized crystal structure of TbDyAlAu, from Alexandria via LeMat-Bulk.

abc: 3.5631 3.5631 7.4766
angles: 90.00 90.00 90.00
With the nearest neighbours (Å) after each atom.
Fractional positions:
Au  0.5000  0.5000  0.6111  4 Dy 3.09, 4 Tb 3.13
Dy  0.0000  0.0000  0.8496  4 Au 3.09, 4 Al 3.16
Tb  0.0000  0.0000  0.3624  4 Au 3.13, 4 Al 3.17
Al  0.5000  0.5000  0.1048  4 Dy 3.16, 4 Tb 3.17

Summary:
V: 23.73 Å³/atom
Symmetry: No. 99
Total magnetic moment: 0.0 μB per cell
Density of states at the Fermi level: 0.527 states/eV per atom

=====

Stability, highest: 2

=====

1.
The following is a PBE calculation of an optimized crystal structure of DyTmAlAu, from Alexandria via LeMat-Bulk.

abc: 3.5358 3.5358 7.3929
angles: 90.00 90.00 90.00
With the nearest neighbours (Å) after each atom.
Fractional positions:
Au  0.5000  0.5000  0.6186  4 Tm 3.02, 4 Dy 3.14
Dy  0.0000  0.0000  0.3612  4 Au 3.14, 4 Al 3.16
Al  0.5000  0.5000  0.1008  4 Tm 3.12, 4 Dy 3.16
Tm  0.0000  0.0000  0.8473  4 Au 3.02, 4 Al 3.12

Summary:
V: 23.11 Å³/atom
Symmetry: No. 99
Total magnetic moment: 0.0 μB per cell
Density of states at the Fermi level: 0.404 states/eV per atom

=====

2.
The following is a PBE calculation of an optimized crystal structure of DyTmAlAu, from Alexandria via LeMat-Bulk.

abc: 5.0961 5.0961 5.0961
angles: 60.00 60.00 60.00
With the nearest neighbours (Å) after each atom.
Fractional positions:
Al  0.5000  0.5000  0.5000  4 Tm 3.12, 4 Dy 3.12
Tm  0.2500  0.2500  0.2500  4 Au 3.12, 4 Al 3.12
Dy  0.7500  0.7500  0.7500  4 Al 3.12, 4 Au 3.12
Au  0.0000  0.0000  0.0000  4 Dy 3.12, 4 Tm 3.12

Summary:
V: 23.40 Å³/atom
Symmetry: No. 216
Total magnetic moment: 0.0 μB per cell
Density of states at the Fermi level: 0.572 states/eV per atom

=====

Stability, highest: 1

=====

1.
The following is a PBE calculation of an optimized crystal structure of DyYAlAu, from Alexandria via LeMat-Bulk.

abc: 5.1359 5.1359 5.1359
angles: 60.00 60.00 60.00
With the nearest neighbours (Å) after each atom.
Fractional positions:
Y  0.7500  0.7500  0.7500  4 Au 3.15, 4 Al 3.15
Dy  0.2500  0.2500  0.2500  4 Au 3.15, 4 Al 3.15
Al  0.5000  0.5000  0.5000  4 Dy 3.15, 4 Y 3.15
Au  0.0000  0.0000  0.0000  4 Y 3.15, 4 Dy 3.15

Summary:
V: 23.95 Å³/atom
Symmetry: No. 216
Total magnetic moment: 0.0 μB per cell
Density of states at the Fermi level: 0.666 states/eV per atom

=====

2.
The following is a PBE calculation of an optimized crystal structure of DyYAlAu, from Alexandria via LeMat-Bulk.

abc: 3.5606 3.5606 7.4615
angles: 90.00 90.00 90.00
With the nearest neighbours (Å) after each atom.
Fractional positions:
Y  0.0000  0.0000  0.3624  4 Au 3.12, 4 Al 3.16
Al  0.5000  0.5000  0.1062  4 Y 3.16, 4 Dy 3.16
Dy  0.0000  0.0000  0.8495  4 Au 3.09, 4 Al 3.16
Au  0.5000  0.5000  0.6099  4 Dy 3.09, 4 Y 3.12

Summary:
V: 23.65 Å³/atom
Symmetry: No. 99
Total magnetic moment: 0.0 μB per cell
Density of states at the Fermi level: 0.467 states/eV per atom

=====

Stability, highest: 2

=====

1.
The following is a PBE calculation of an optimized crystal structure of ErAlAu4, from Alexandria via LeMat-Bulk.

abc: 5.1388 5.1531 9.5105
angles: 109.29 101.31 92.83
With the nearest neighbours (Å) after each atom.
Fractional positions:
Au  0.3188  0.8621  0.1787  1 Al 2.85, 5 Au 2.96-3.13, 4 Er 3.00-3.01
Au  0.8188  0.3621  0.1787  1 Al 2.84, 5 Au 2.96-3.13, 4 Er 3.00-3.01
Au  0.8861  0.9659  0.3479  2 Al 2.62-2.66, 1 Au 2.80
Al  0.5000  0.0000  0.5000  6 Au 2.62-2.85
Al  0.0000  0.5000  0.5000  6 Au 2.62-2.84
Er  0.7500  0.7500  0.0000  10 Au 3.00-3.04
Au  0.6812  0.1379  0.8213  1 Al 2.85, 5 Au 2.96-3.13, 4 Er 3.00-3.01
Au  0.1139  0.0341  0.6521  2 Al 2.62-2.66, 1 Au 2.80
Au  0.1812  0.6379  0.8213  1 Al 2.84, 5 Au 2.96-3.13, 4 Er 3.00-3.01
Au  0.6139  0.5342  0.6521  2 Al 2.62-2.66, 1 Au 2.80
Er  0.2500  0.2500  0.0000  10 Au 3.00-3.04
Au  0.3861  0.4658  0.3479  2 Al 2.62-2.66, 1 Au 2.80

Summary:
V: 19.28 Å³/atom
Symmetry: No. 2
Total magnetic moment: 0.0 μB per cell
Density of states at the Fermi level: 0.241 states/eV per atom

=====

2.
The following is a PBE calculation of an optimized crystal structure of ErAlAu4, from Alexandria via LeMat-Bulk.

abc: 5.2808 8.9258 5.2808
angles: 88.02 73.27 88.02
With the nearest neighbours (Å) after each atom.
Fractional positions:
Au  0.7736  0.1260  0.7736  1 Al 2.52, 2 Au 2.82
Au  0.3464  0.6100  0.8892  3 Al 2.59-2.75, 2 Au 2.86-2.88
Au  0.2840  0.0000  0.7160  5 Au 2.72-2.95, 2 Er 3.00
Al  0.3891  0.6308  0.3891  7 Au 2.52-2.75
Er  0.8283  0.7923  0.8283  9 Au 3.00-3.34
Au  0.7160  0.0000  0.2840  5 Au 2.72-2.95, 2 Er 3.00
Er  0.1717  0.2077  0.1717  9 Au 3.00-3.34
Al  0.6109  0.3692  0.6109  7 Au 2.52-2.75
Au  0.6536  0.3900  0.1108  3 Al 2.59-2.75, 2 Au 2.86-2.88
Au  0.1108  0.3900  0.6536  3 Al 2.59-2.75, 2 Au 2.86-2.88
Au  0.2264  0.8740  0.2264  1 Al 2.52, 2 Au 2.82
Au  0.8892  0.6100  0.3464  3 Al 2.59-2.75, 2 Au 2.86-2.88

Summary:
V: 19.85 Å³/atom
Symmetry: No. 12
Total magnetic moment: 0.0 μB per cell
Density of states at the Fermi level: 0.377 states/eV per atom

=====

Stability, highest: 2